Computed, not measured: a relaxed structure of Zr2Hg2Ir at the PBE-GGA level of DFT.

## Properties
Calculated density (g/cm³): 11.77
ΔE_f (kJ/mol of formula units): 307.6
E (eV/atom): -4.675
N(E_F) (states/eV/atom): 0.808

Unit cell a=3.9742 b=3.9742 c=13.8599 alpha=90.00 beta=90.00 gamma=90.00
Closest atoms and distances in Å follow each position.
Space group I4/mmm (No. 139)
Unique sites:
Zr1 0.0000 0.5000 0.2500 x4  4 Zr 2.81, 4 Hg 2.93
Hg1 0.0000 0.0000 0.0943 x4  1 Hg 2.61
Ir1 0.0000 0.0000 0.5000 x2  8 Hg 3.10

=====

Computed, not measured: a relaxed structure of Fe2RePt at the PBE-GGA level of DFT.

## Properties
Calculated density (g/cm³): 15.45
ΔE_f (kJ/mol of formula units): -7.3
E (eV/atom): -8.872
N(E_F) (states/eV/atom): 0.830

Unit cell a=2.6810 b=3.6971 c=5.3440 alpha=90.00 beta=90.00 gamma=90.00
Closest atoms and distances in Å follow each position.
Space group Pmm2 (No. 25)
Unique sites:
Fe1 0.0000 0.0000 0.0000 x1  4 Re 2.56, 6 Fe 2.60-2.68, 2 Pt 2.64-2.71
Fe2 0.5000 0.5000 0.2334 x1  1 Re 2.41, 6 Fe 2.60-2.68, 4 Pt 2.67
Re1 0.5000 0.5000 0.7818 x1  5 Fe 2.41-2.56, 2 Re 2.68
Pt1 0.0000 0.0000 0.4934 x1  6 Fe 2.64-2.71, 2 Pt 2.68, 4 Re 2.76

=====

Computed, not measured: a relaxed structure of Nb4CrRu3 at the PBE-GGA level of DFT.

## Properties
Calculated density (g/cm³): 9.55
ΔE_f (kJ/mol of formula units): -138.8
E (eV/atom): -9.896
N(E_F) (states/eV/atom): 0.925

Unit cell a=3.1054 b=3.1054 c=13.1063 alpha=90.00 beta=90.00 gamma=90.00
Closest atoms and distances in Å follow each position.
Space group P4/mmm (No. 123)
Unique sites:
Nb1 0.0000 0.0000 0.1154 x2  4 Cr 2.67, 4 Ru 2.76
Nb2 0.0000 0.0000 0.3713 x2  8 Ru 2.77
Cr1 0.5000 0.5000 0.0000 x1  8 Nb 2.67
Ru1 0.5000 0.5000 0.2426 x2  8 Nb 2.76-2.77
Ru2 0.5000 0.5000 0.5000 x1  8 Nb 2.77